VASP calculation (PBE-GGA) on a relaxed structure of V2GeAs.

```
V2GeAs
1.0
4.324 0.000 0.000
0.000 4.324 0.000
0.000 0.000 3.085
V Ge As
2 1 1
Direct
0.000 0.500 0.000 V
0.500 0.000 0.000 V
0.000 0.000 0.500 Ge
0.500 0.500 0.500 As
```

Properties
E	-27.8	eV per cell
density of states at the Fermi level	3.03	states/eV/f.u.
density	7.182	g cm⁻³
energy relative to the elements	-81	meV per atom
energy relative to the lowest polymorph listed for this composition	228	meV/atom